Record 1
Computed, not measured: a geometry-optimized FeCo structure at the PBE level of DFT.

Calculated values
**Total energy**: -99.6 eV for the cell shown
**Calculated formation energy**: 1560 meV/atom
**DOS(E_F)**: 1.166 states/eV/atom
**Symmetry**: I-43m

Lattice parameters (Å, degrees): 6.7186 6.7186 6.7186 90.00 90.00 90.00
Atoms (fractional coordinates):
Fe (0.1557, 0.1557, 0.1557)
Fe (0.1557, 0.8443, 0.8443)
Fe (0.3443, 0.3443, 0.6557)
Fe (0.3443, 0.6557, 0.3443)
Fe (0.6557, 0.3443, 0.3443)
Fe (0.6557, 0.6557, 0.6557)
Fe (0.8443, 0.1557, 0.8443)
Fe (0.8443, 0.8443, 0.1557)
Co (0.1602, 0.1602, 0.8398)
Co (0.1602, 0.8398, 0.1602)
Co (0.3398, 0.3398, 0.3398)
Co (0.3398, 0.6602, 0.6602)
Co (0.6602, 0.3398, 0.6602)
Co (0.6602, 0.6602, 0.3398)
Co (0.8398, 0.1602, 0.1602)
Co (0.8398, 0.8398, 0.8398)

Record 2
Computed, not measured: a geometry-optimized NdSm4Ho15 structure at the PBE level of DFT.

Calculated values
**Total energy**: -91.9 eV for the cell shown
**Calculated formation energy**: 20 meV/atom
**DOS(E_F)**: 1.323 states/eV/atom
**Symmetry**: P4/mmm

Lattice parameters (Å, degrees): 5.0276 5.0276 25.0600 90.00 90.00 90.00
Atoms (fractional coordinates):
Nd (0.0000, 0.0000, 0.0000)
Sm (0.0000, 0.0000, 0.2001)
Sm (0.0000, 0.0000, 0.4001)
Sm (0.0000, 0.0000, 0.5999)
Sm (0.0000, 0.0000, 0.7999)
Ho (0.0000, 0.5000, 0.1004)
Ho (0.0000, 0.5000, 0.3001)
Ho (0.0000, 0.5000, 0.5000)
Ho (0.0000, 0.5000, 0.6999)
Ho (0.0000, 0.5000, 0.8996)
Ho (0.5000, 0.0000, 0.1004)
Ho (0.5000, 0.0000, 0.3001)
Ho (0.5000, 0.0000, 0.5000)
Ho (0.5000, 0.0000, 0.6999)
Ho (0.5000, 0.0000, 0.8996)
Ho (0.5000, 0.5000, 0.0000)
Ho (0.5000, 0.5000, 0.2003)
Ho (0.5000, 0.5000, 0.4000)
Ho (0.5000, 0.5000, 0.6000)
Ho (0.5000, 0.5000, 0.7997)